Here is a geometry-optimized NdDyTmTl structure from Alexandria via LeMat-Bulk. Energies are from PBE.

a b c (Å): 7.7886 7.7886 7.7886
angles (deg): 90.00 90.00 90.00
Last column: nearest neighbours and their distance in Å.
Fractional coordinates of all 16 atoms:
1 Nd 0.0000 0.0000 0.0000  4 Tl 3.37, 4 Tm 3.37
2 Nd 0.0000 0.5000 0.5000  4 Tl 3.37, 4 Tm 3.37
3 Nd 0.5000 0.0000 0.5000  4 Tl 3.37, 4 Tm 3.37
4 Nd 0.5000 0.5000 0.0000  4 Tl 3.37, 4 Tm 3.37
5 Dy 0.0000 0.0000 0.5000  4 Tl 3.37, 4 Tm 3.37
6 Dy 0.0000 0.5000 0.0000  4 Tl 3.37, 4 Tm 3.37
7 Dy 0.5000 0.0000 0.0000  4 Tl 3.37, 4 Tm 3.37
8 Dy 0.5000 0.5000 0.5000  4 Tl 3.37, 4 Tm 3.37
9 Tm 0.2500 0.2500 0.7500  4 Dy 3.37, 4 Nd 3.37
10 Tm 0.2500 0.7500 0.2500  4 Dy 3.37, 4 Nd 3.37
11 Tm 0.7500 0.2500 0.2500  4 Dy 3.37, 4 Nd 3.37
12 Tm 0.7500 0.7500 0.7500  4 Dy 3.37, 4 Nd 3.37
13 Tl 0.2500 0.2500 0.2500  4 Dy 3.37, 4 Nd 3.37
14 Tl 0.2500 0.7500 0.7500  4 Dy 3.37, 4 Nd 3.37
15 Tl 0.7500 0.2500 0.7500  4 Dy 3.37, 4 Nd 3.37
16 Tl 0.7500 0.7500 0.2500  4 Dy 3.37, 4 Nd 3.37

Results
The crystal system is cubic. As for the density of states at the Fermi level: 1.41 states/eV per atom. The calculation puts the offset from the most stable computed form at 0.50 eV/f.u. The magnetic moment comes out at 0.28 μB/atom. Its space group is F-43m.